(P)
Here is a geometry-optimized Li2InPb6 structure from Alexandria via LeMat-Bulk. Energies are from PBE.

Output
Magnetic moment, μB/cell: 0.00
Density of states at the Fermi level, states/eV/atom: 0.51

Cell and atoms, written as CIF:
```
data_Li2InPb6
_chemical_formula_sum 'Li4 In2 Pb12'
_symmetry_space_group_name_H-M 'P 42/m n m'
_symmetry_Int_Tables_number 136
_symmetry_space_group_name_Hall '-P 4n 2n'
_cell_length_a 6.278
_cell_length_b 6.278
_cell_length_c 14.200
_cell_angle_alpha 90.00
_cell_angle_beta 90.00
_cell_angle_gamma 90.00
loop_
_atom_site_label
_atom_site_type_symbol
_atom_site_fract_x
_atom_site_fract_y
_atom_site_fract_z
Li1 Li 0.000 0.000 0.163
In1 In 0.000 0.000 0.500
Pb1 Pb 0.176 0.176 0.000
Pb2 Pb 0.197 0.197 0.316
```

=====

(Q)
Here is a geometry-optimized Li2InPb6 structure from Alexandria via LeMat-Bulk. Energies are from PBE.

Output
Magnetic moment, μB/cell: 0.00
Density of states at the Fermi level, states/eV/atom: 0.46

Cell and atoms, written as CIF:
```
data_Li2InPb6
_chemical_formula_sum 'Li4 In2 Pb12'
_symmetry_space_group_name_H-M 'I m m m'
_symmetry_Int_Tables_number 71
_symmetry_space_group_name_Hall '-I 2 2'
_cell_length_a 3.479
_cell_length_b 9.083
_cell_length_c 16.673
_cell_angle_alpha 90.00
_cell_angle_beta 90.00
_cell_angle_gamma 90.00
loop_
_atom_site_label
_atom_site_type_symbol
_atom_site_fract_x
_atom_site_fract_y
_atom_site_fract_z
Li1 Li 0.000 0.000 0.146
In1 In 0.000 0.500 0.000
Pb1 Pb 0.000 0.177 0.324
Pb2 Pb 0.000 0.326 0.500
```

=====

Least stable = (P)

=====

(P)
Here is a geometry-optimized LiIn3Pb2 structure from Alexandria via LeMat-Bulk. Energies are from PBE.

Output
Magnetic moment, μB/cell: 0.00
Density of states at the Fermi level, states/eV/atom: 0.44

Cell and atoms, written as CIF:
```
data_LiIn3Pb2
_chemical_formula_sum 'Li1 In3 Pb2'
_symmetry_space_group_name_H-M 'P m m 2'
_symmetry_Int_Tables_number 25
_symmetry_space_group_name_Hall 'P 2 -2'
_cell_length_a 3.528
_cell_length_b 4.937
_cell_length_c 9.427
_cell_angle_alpha 90.00
_cell_angle_beta 90.00
_cell_angle_gamma 90.00
loop_
_atom_site_label
_atom_site_type_symbol
_atom_site_fract_x
_atom_site_fract_y
_atom_site_fract_z
Li1 Li 0.000 0.000 0.000
In1 In 0.000 0.000 0.313
In2 In 0.000 0.500 0.504
In3 In 0.000 0.500 0.841
Pb1 Pb 0.500 0.000 0.686
Pb2 Pb 0.500 0.500 0.143
```

=====

(Q)
Here is a geometry-optimized LiIn3Pb2 structure from Alexandria via LeMat-Bulk. Energies are from PBE.

Output
Magnetic moment, μB/cell: 0.00
Density of states at the Fermi level, states/eV/atom: 0.43

Cell and atoms, written as CIF:
```
data_LiIn3Pb2
_chemical_formula_sum 'Li2 In6 Pb4'
_symmetry_space_group_name_H-M 'P -1'
_symmetry_Int_Tables_number 2
_symmetry_space_group_name_Hall '-P 1'
_cell_length_a 5.750
_cell_length_b 7.532
_cell_length_c 8.408
_cell_angle_alpha 68.29
_cell_angle_beta 89.26
_cell_angle_gamma 74.23
loop_
_atom_site_label
_atom_site_type_symbol
_atom_site_fract_x
_atom_site_fract_y
_atom_site_fract_z
Li1 Li 0.147 0.360 0.367
In1 In 0.022 0.155 0.757
In2 In 0.291 0.892 0.539
In3 In 0.384 0.110 0.129
Pb1 Pb 0.193 0.650 0.955
Pb2 Pb 0.427 0.395 0.696
```

=====

Least stable = (P)

=====

(P)
Here is a geometry-optimized Li8In2Pb structure from Alexandria via LeMat-Bulk. Energies are from PBE.

Output
Magnetic moment, μB/cell: 0.00
Density of states at the Fermi level, states/eV/atom: 0.37

Cell and atoms, written as CIF:
```
data_Li8In2Pb
_chemical_formula_sum 'Li16 In4 Pb2'
_symmetry_space_group_name_H-M 'C 1 2/m 1'
_symmetry_Int_Tables_number 12
_symmetry_space_group_name_Hall '-C 2y'
_cell_length_a 14.183
_cell_length_b 4.761
_cell_length_c 7.398
_cell_angle_alpha 90.00
_cell_angle_beta 121.41
_cell_angle_gamma 90.00
loop_
_atom_site_label
_atom_site_type_symbol
_atom_site_fract_x
_atom_site_fract_y
_atom_site_fract_z
Li1 Li 0.001 0.000 0.205
Li2 Li 0.142 0.500 0.945
Li3 Li 0.143 0.500 0.341
Li4 Li 0.148 0.000 0.650
In1 In 0.207 0.000 0.206
Pb1 Pb 0.000 0.500 0.500
```

=====

(Q)
Here is a geometry-optimized Li8In2Pb structure from Alexandria via LeMat-Bulk. Energies are from PBE.

Output
Magnetic moment, μB/cell: 0.00
Density of states at the Fermi level, states/eV/atom: 0.23

Cell and atoms, written as CIF:
```
data_Li8In2Pb
_chemical_formula_sum 'Li16 In4 Pb2'
_symmetry_space_group_name_H-M 'C 1 2/m 1'
_symmetry_Int_Tables_number 12
_symmetry_space_group_name_Hall '-C 2y'
_cell_length_a 7.616
_cell_length_b 14.190
_cell_length_c 4.858
_cell_angle_alpha 90.00
_cell_angle_beta 127.28
_cell_angle_gamma 90.00
loop_
_atom_site_label
_atom_site_type_symbol
_atom_site_fract_x
_atom_site_fract_y
_atom_site_fract_z
Li1 Li 0.000 0.205 0.000
Li2 Li 0.059 0.500 0.787
Li3 Li 0.226 0.129 0.710
In1 In 0.000 0.315 0.500
Pb1 Pb 0.000 0.000 0.000
```

=====

Least stable = (Q)

=====

(P)
Here is a geometry-optimized Li2InPb2 structure from Alexandria via LeMat-Bulk. Energies are from PBE.

Output
Magnetic moment, μB/cell: 0.00
Density of states at the Fermi level, states/eV/atom: 0.46

Cell and atoms, written as CIF:
```
data_Li2InPb2
_chemical_formula_sum 'Li4 In2 Pb4'
_symmetry_space_group_name_H-M 'P 1 21/m 1'
_symmetry_Int_Tables_number 11
_symmetry_space_group_name_Hall '-P 2yb'
_cell_length_a 6.012
_cell_length_b 3.455
_cell_length_c 12.010
_cell_angle_alpha 90.00
_cell_angle_beta 92.92
_cell_angle_gamma 90.00
loop_
_atom_site_label
_atom_site_type_symbol
_atom_site_fract_x
_atom_site_fract_y
_atom_site_fract_z
Li1 Li 0.121 0.250 0.307
Li2 Li 0.367 0.250 0.080
In1 In 0.441 0.250 0.725
Pb1 Pb 0.126 0.750 0.902
Pb2 Pb 0.250 0.750 0.510
```

=====

(Q)
Here is a geometry-optimized Li2InPb2 structure from Alexandria via LeMat-Bulk. Energies are from PBE.

Output
Magnetic moment, μB/cell: 0.00
Density of states at the Fermi level, states/eV/atom: 0.70

Cell and atoms, written as CIF:
```
data_Li2InPb2
_chemical_formula_sum 'Li2 In1 Pb2'
_symmetry_space_group_name_H-M 'P -6 m 2'
_symmetry_Int_Tables_number 187
_symmetry_space_group_name_Hall 'P -6 2'
_cell_length_a 5.1055
_cell_length_b 5.1055
_cell_length_c 6.1753
_cell_angle_alpha 90.00
_cell_angle_beta 90.00
_cell_angle_gamma 120.00
loop_
_atom_site_label
_atom_site_type_symbol
_atom_site_fract_x
_atom_site_fract_y
_atom_site_fract_z
Li1 Li 0.0000 0.0000 0.2420
In1 In 0.3333 0.6667 0.5000
Pb1 Pb 0.3333 0.6667 0.0000
Pb2 Pb 0.6667 0.3333 0.5000
```

=====

Least stable = (Q)

=====

(P)
Here is a geometry-optimized Li2InPb2 structure from Alexandria via LeMat-Bulk. Energies are from PBE.

Output
Magnetic moment, μB/cell: 0.00
Density of states at the Fermi level, states/eV/atom: 0.31

Cell and atoms, written as CIF:
```
data_Li2InPb2
_chemical_formula_sum 'Li4 In2 Pb4'
_symmetry_space_group_name_H-M 'P 4/m b m'
_symmetry_Int_Tables_number 127
_symmetry_space_group_name_Hall '-P 4 2ab'
_cell_length_a 8.452
_cell_length_b 8.452
_cell_length_c 3.431
_cell_angle_alpha 90.00
_cell_angle_beta 90.00
_cell_angle_gamma 90.00
loop_
_atom_site_label
_atom_site_type_symbol
_atom_site_fract_x
_atom_site_fract_y
_atom_site_fract_z
Li1 Li 0.169 0.331 0.000
In1 In 0.000 0.000 0.500
Pb1 Pb 0.132 0.632 0.500
```

=====

(Q)
Here is a geometry-optimized Li2InPb2 structure from Alexandria via LeMat-Bulk. Energies are from PBE.

Output
Magnetic moment, μB/cell: 0.00
Density of states at the Fermi level, states/eV/atom: 0.31

Cell and atoms, written as CIF:
```
data_Li2InPb2
_chemical_formula_sum 'Li4 In2 Pb4'
_symmetry_space_group_name_H-M 'I 4/m m m'
_symmetry_Int_Tables_number 139
_symmetry_space_group_name_Hall '-I 4 2'
_cell_length_a 4.386
_cell_length_b 4.386
_cell_length_c 13.252
_cell_angle_alpha 90.00
_cell_angle_beta 90.00
_cell_angle_gamma 90.00
loop_
_atom_site_label
_atom_site_type_symbol
_atom_site_fract_x
_atom_site_fract_y
_atom_site_fract_z
Li1 Li 0.000 0.500 0.250
In1 In 0.000 0.000 0.000
Pb1 Pb 0.000 0.000 0.390
```

=====

(R)
Here is a geometry-optimized Li2InPb2 structure from Alexandria via LeMat-Bulk. Energies are from PBE.

Output
Magnetic moment, μB/cell: 0.00
Density of states at the Fermi level, states/eV/atom: 0.37

Cell and atoms, written as CIF:
```
data_Li2InPb2
_chemical_formula_sum 'Li4 In2 Pb4'
_symmetry_space_group_name_H-M 'P 4/m b m'
_symmetry_Int_Tables_number 127
_symmetry_space_group_name_Hall '-P 4 2ab'
_cell_length_a 7.727
_cell_length_b 7.727
_cell_length_c 3.960
_cell_angle_alpha 90.00
_cell_angle_beta 90.00
_cell_angle_gamma 90.00
loop_
_atom_site_label
_atom_site_type_symbol
_atom_site_fract_x
_atom_site_fract_y
_atom_site_fract_z
Li1 Li 0.137 0.363 0.000
In1 In 0.000 0.000 0.000
Pb1 Pb 0.163 0.663 0.500
```

=====

Least stable = (Q)

=====

(P)
Here is a geometry-optimized Li3In4Pb structure from Alexandria via LeMat-Bulk. Energies are from PBE.

Output
Magnetic moment, μB/cell: 0.00
Density of states at the Fermi level, states/eV/atom: 0.32

Cell and atoms, written as CIF:
```
data_Li3In4Pb
_chemical_formula_sum 'Li6 In8 Pb2'
_symmetry_space_group_name_H-M 'C 1 2/m 1'
_symmetry_Int_Tables_number 12
_symmetry_space_group_name_Hall '-C 2y'
_cell_length_a 19.551
_cell_length_b 3.640
_cell_length_c 5.131
_cell_angle_alpha 90.00
_cell_angle_beta 93.06
_cell_angle_gamma 90.00
loop_
_atom_site_label
_atom_site_type_symbol
_atom_site_fract_x
_atom_site_fract_y
_atom_site_fract_z
Li1 Li 0.000 0.000 0.000
Li2 Li 0.123 0.000 0.549
In1 In 0.119 0.500 0.043
In2 In 0.249 0.000 0.257
Pb1 Pb 0.000 0.500 0.500
```

=====

(Q)
Here is a geometry-optimized Li3In4Pb structure from Alexandria via LeMat-Bulk. Energies are from PBE.

Output
Magnetic moment, μB/cell: 0.00
Density of states at the Fermi level, states/eV/atom: 0.26

Cell and atoms, written as CIF:
```
data_Li3In4Pb
_chemical_formula_sum 'Li3 In4 Pb1'
_symmetry_space_group_name_H-M 'P -1'
_symmetry_Int_Tables_number 2
_symmetry_space_group_name_Hall '-P 1'
_cell_length_a 3.254
_cell_length_b 4.687
_cell_length_c 12.547
_cell_angle_alpha 79.89
_cell_angle_beta 82.88
_cell_angle_gamma 89.73
loop_
_atom_site_label
_atom_site_type_symbol
_atom_site_fract_x
_atom_site_fract_y
_atom_site_fract_z
Li1 Li 0.000 0.000 0.000
Li2 Li 0.145 0.647 0.703
In1 In 0.283 0.778 0.440
In2 In 0.403 0.901 0.197
Pb1 Pb 0.500 0.500 0.000
```

=====

Least stable = (Q)